1.
VASP calculation (PBE-GGA) on crystalline P2Au at its relaxed geometry.

Unit cell a=4.593 b=4.593 c=5.492 alpha=90.00 beta=90.00 gamma=120.00
Fractional positions:
P  0.333  0.667  0.750
Au  0.667  0.333  0.750
P  0.667  0.333  0.250
P  0.000  0.000  0.000
P  0.000  0.000  0.500
Au  0.333  0.667  0.250

Summary:
SG   P6_3/mmc
Calculated volume   100 Å³ per cell
Total magnetization   0.0 μB/f.u.
Calculated formation energy   0.75 eV/atom

***

2.
VASP calculation (PBE-GGA) on crystalline CdCu2W at its relaxed geometry.

Unit cell a=9.303 b=9.303 c=9.303 alpha=17.23 beta=17.23 gamma=17.23
Fractional positions:
W  0.508  0.508  0.508
Cu  0.993  0.993  0.993
Cd  0.745  0.745  0.745
Cu  0.254  0.254  0.254

Summary:
SG   R3m
Calculated volume   62 Å³ per cell
Total magnetization   0.0 μB/f.u.
Calculated formation energy   0.39 eV/atom